Entry 1:
Computed, not measured: an optimized crystal structure of MnSnBiH2 at the PBE level of DFT.

Results
Its crystal system is tetragonal. For the density of states at the Fermi level, the calculation gives 1.27 states/eV per cell. The total energy comes out at -0.15353 Ha/atom.

Unit cell a=4.045 b=4.045 c=6.396 alpha=90.00 beta=90.00 gamma=90.00
Atoms (fractional coordinates):
Bi 0.000 0.000 0.000
H 0.500 0.000 0.000
H 0.000 0.500 0.000
Sn 0.000 0.000 0.500
Mn 0.500 0.500 0.500



Entry 2:
Computed, not measured: an optimized crystal structure of MnBiTeH2 at the PBE level of DFT.

Results
Its crystal system is tetragonal. For the density of states at the Fermi level, the calculation gives 1.66 states/eV per cell. The total energy comes out at -0.14925 Ha/atom.

Unit cell a=4.015 b=6.831 c=4.015 alpha=90.00 beta=90.00 gamma=90.00
Atoms (fractional coordinates):
Bi 0.000 0.500 0.000
Te 0.000 0.000 0.000
H 0.500 0.000 0.000
H 0.000 0.000 0.500
Mn 0.500 0.500 0.500



Entry 3:
Computed, not measured: an optimized crystal structure of Bi2MoH2 at the PBE level of DFT.

Results
Its crystal system is tetragonal. For the density of states at the Fermi level, the calculation gives 5.04 states/eV per cell. The total energy comes out at -0.16376 Ha/atom.

Unit cell a=7.911 b=7.911 c=3.031 alpha=90.00 beta=90.00 gamma=90.00
Atoms (fractional coordinates):
H 0.534 0.966 0.500
H 0.466 0.034 0.500
H 0.034 0.534 0.500
H 0.966 0.466 0.500
Mo 0.500 0.500 0.000
Mo 0.000 0.000 0.000
Bi 0.250 0.750 0.000
Bi 0.750 0.750 0.000
Bi 0.750 0.250 0.000
Bi 0.250 0.250 0.000



Which of these has the lowest density of states at the Fermi level?
MnSnBiH2